1.
NaHoCdTe3: relaxed, PBE-GGA.

Its mass density is 6.2 Mg/m³. As for the crystal system: orthorhombic. As for the total energy: -3.585 eV per atom.

a = 8.6430 Å, b = 4.5035 Å, c = 18.7627 Å
α = 90.00°, β = 90.00°, γ = 90.00°
Space group Pnma (No. 62)
One atom of each set of equivalent atoms:
Na  0.0618  0.2500  0.1967 (multiplicity 4)
Ho  0.2293  0.2500  0.9612 (multiplicity 4)
Cd  0.0657  0.2500  0.6641 (multiplicity 4)
Te  0.0078  0.2500  0.4256 (multiplicity 4)
Te  0.1265  0.7500  0.0643 (multiplicity 4)
Te  0.2274  0.2500  0.7930 (multiplicity 4)

---

2.
BaLuMgAu: relaxed, PBE-GGA.

Its mass density is 7.7 Mg/m³. As for the crystal system: cubic. As for the total energy: -3.003 eV per atom.

a = 7.7226 Å, b = 7.7226 Å, c = 7.7226 Å
α = 90.00°, β = 90.00°, γ = 90.00°
Space group F-43m (No. 216)
One atom of each set of equivalent atoms:
Ba  0.0000  0.0000  0.0000 (multiplicity 4)
Lu  0.0000  0.0000  0.5000 (multiplicity 4)
Mg  0.2500  0.2500  0.7500 (multiplicity 4)
Au  0.2500  0.2500  0.2500 (multiplicity 4)

---

3.
TmSeClO3: relaxed, PBE-GGA.

Its mass density is 5.2 Mg/m³. As for the crystal system: orthorhombic. As for the total energy: -6.155 eV per atom.

a = 7.0635 Å, b = 6.8452 Å, c = 8.6942 Å
α = 90.00°, β = 90.00°, γ = 90.00°
Space group Pnma (No. 62)
One atom of each set of equivalent atoms:
Tm  0.1004  0.2500  0.0409 (multiplicity 4)
Se  0.2003  0.2500  0.6343 (multiplicity 4)
Cl  0.0547  0.7500  0.6793 (multiplicity 4)
O  0.1454  0.5705  0.0652 (multiplicity 8)
O  0.2475  0.7500  0.3248 (multiplicity 4)

---

4.
HgOsO3: relaxed, PBE-GGA.

Its mass density is 12.5 Mg/m³. As for the crystal system: trigonal. As for the total energy: -5.747 eV per atom.

a = 5.5744 Å, b = 5.5744 Å, c = 13.0451 Å
α = 90.00°, β = 90.00°, γ = 120.00°
Space group R-3c (No. 167, hexagonal axes)
One atom of each set of equivalent atoms:
Hg  0.0000  0.0000  0.2500 (multiplicity 6)
Os  0.0000  0.0000  0.0000 (multiplicity 6)
O  0.0000  0.4077  0.2500 (multiplicity 18)

---

5.
Dy2ErLu4Ni2Te2: relaxed, PBE-GGA.

Its mass density is 9.4 Mg/m³. As for the crystal system: orthorhombic. As for the total energy: -5.145 eV per atom.

a = 3.8107 Å, b = 15.3368 Å, c = 9.4505 Å
α = 90.00°, β = 90.00°, γ = 90.00°
Space group Imm2 (No. 44)
One atom of each set of equivalent atoms:
Dy  0.0000  0.1854  0.0000 (multiplicity 4)
Er  0.0000  0.5000  0.6241 (multiplicity 2)
Lu  0.0000  0.1462  0.3523 (multiplicity 4)
Lu  0.0000  0.3655  0.2053 (multiplicity 4)
Ni  0.0000  0.2634  0.6938 (multiplicity 4)
Te  0.0000  0.0000  0.8555 (multiplicity 2)
Te  0.0000  0.5000  0.9629 (multiplicity 2)

---

6.
Pt2Se3S: relaxed, PBE-GGA.

Its mass density is 4.5 Mg/m³. As for the crystal system: monoclinic. As for the total energy: -4.349 eV per atom.

a = 6.2360 Å, b = 3.5863 Å, c = 11.3490 Å
α = 90.00°, β = 105.81°, γ = 90.00°
Space group Pm (No. 6)
One atom of each set of equivalent atoms:
Pt  0.0000  0.0000  0.0000 (multiplicity 1)
Pt  0.4790  0.5000  0.0008 (multiplicity 1)
Se  0.3963  0.0000  0.1452 (multiplicity 1)
Se  0.7522  0.5000  0.8674 (multiplicity 1)
Se  0.8871  0.5000  0.1356 (multiplicity 1)
S  0.2635  0.0000  0.8787 (multiplicity 1)

---

7.
TcGe2Au: relaxed, PBE-GGA.

Its mass density is 10.8 Mg/m³. As for the crystal system: cubic. As for the total energy: -5.240 eV per atom.

a = 6.4772 Å, b = 6.4772 Å, c = 6.4772 Å
α = 90.00°, β = 90.00°, γ = 90.00°
Space group F-43m (No. 216)
One atom of each set of equivalent atoms:
Tc  0.0000  0.0000  0.0000 (multiplicity 4)
Ge  0.0000  0.0000  0.5000 (multiplicity 4)
Ge  0.2500  0.2500  0.7500 (multiplicity 4)
Au  0.2500  0.2500  0.2500 (multiplicity 4)

---

8.
PmBe: relaxed, PBE-GGA.

Its mass density is 5.4 Mg/m³. As for the crystal system: hexagonal. As for the total energy: -3.666 eV per atom.

a = 3.5630 Å, b = 3.5630 Å, c = 4.3066 Å
α = 90.00°, β = 90.00°, γ = 120.00°
Space group P-6m2 (No. 187)
One atom of each set of equivalent atoms:
Pm  0.0000  0.0000  0.0000 (multiplicity 1)
Be  0.3333  0.6667  0.5000 (multiplicity 1)